Record 1
Material: ScCoOs
Method: DFT, PBE
State: optimized geometry

Summary:
calculated volume	46.4	Å³ per cell
polymorph energy (0 for the lowest one)	403.8	meV/atom

Structure (CIF):
```
data_ScCoOs
_chemical_formula_sum 'Sc1 Co1 Os1'
_cell_length_a 5.214
_cell_length_b 5.214
_cell_length_c 5.214
_cell_angle_alpha 149.28
_cell_angle_beta 139.88
_cell_angle_gamma 51.36
_space_group_name_H-M_alt 'P 1'
_space_group_IT_number 1
loop_
_space_group_symop_operation_xyz
'x,y,z'
loop_
_atom_site_label
_atom_site_fract_x
_atom_site_fract_y
_atom_site_fract_z
Co1 0.968 0.968 0.000
Os1 0.365 0.365 0.000
Sc1 0.667 0.667 0.000
```

=====

Record 2
Material: Sc8Co2Os
Method: DFT, PBE
State: optimized geometry

Summary:
calculated volume	220.3	Å³ per cell

Structure (CIF):
```
data_Sc8Co2Os
_chemical_formula_sum 'Sc8 Co2 Os1'
_cell_length_a 5.084
_cell_length_b 6.966
_cell_length_c 6.966
_cell_angle_alpha 111.49
_cell_angle_beta 99.11
_cell_angle_gamma 99.11
_space_group_name_H-M_alt 'P 1'
_space_group_IT_number 1
loop_
_space_group_symop_operation_xyz
'x,y,z'
loop_
_atom_site_label
_atom_site_fract_x
_atom_site_fract_y
_atom_site_fract_z
Sc1 0.589 0.325 0.069
Sc2 0.589 0.069 0.325
Sc3 0.183 0.365 0.365
Sc4 0.000 0.228 0.778
Sc5 0.000 0.778 0.228
Sc6 0.817 0.641 0.641
Sc7 0.410 0.938 0.681
Sc8 0.410 0.681 0.938
Co1 0.500 0.689 0.317
Co2 0.500 0.317 0.689
Os1 0.002 0.003 0.003
```

=====

Record 3
Material: Sc2Co2Os
Method: DFT, PBE
State: optimized geometry

Summary:
calculated volume	156.4	Å³ per cell

Structure (CIF):
```
data_Sc2Co2Os
_chemical_formula_sum 'Sc4 Co4 Os2'
_cell_length_a 6.217
_cell_length_b 6.217
_cell_length_c 4.047
_cell_angle_alpha 90.00
_cell_angle_beta 90.00
_cell_angle_gamma 90.00
_space_group_name_H-M_alt 'P 1'
_space_group_IT_number 1
loop_
_space_group_symop_operation_xyz
'x,y,z'
loop_
_atom_site_label
_atom_site_fract_x
_atom_site_fract_y
_atom_site_fract_z
Sc1 0.182 0.682 0.500
Sc2 0.682 0.818 0.500
Sc3 0.818 0.318 0.500
Sc4 0.318 0.182 0.500
Co1 0.371 0.871 0.000
Co2 0.871 0.629 0.000
Co3 0.629 0.129 0.000
Co4 0.129 0.371 0.000
Os1 0.000 0.000 0.000
Os2 0.500 0.500 0.000
```

=====

Record 4
Material: Sc2CoOs
Method: DFT, PBE
State: optimized geometry

Summary:
calculated volume	71.4	Å³ per cell
polymorph energy (0 for the lowest one)	352.2	meV/atom

Structure (CIF):
```
data_Sc2CoOs
_chemical_formula_sum 'Sc2 Co1 Os1'
_cell_length_a 2.996
_cell_length_b 2.996
_cell_length_c 7.959
_cell_angle_alpha 90.00
_cell_angle_beta 90.00
_cell_angle_gamma 90.00
_space_group_name_H-M_alt 'P 1'
_space_group_IT_number 1
loop_
_space_group_symop_operation_xyz
'x,y,z'
loop_
_atom_site_label
_atom_site_fract_x
_atom_site_fract_y
_atom_site_fract_z
Co1 0.000 0.000 0.534
Os1 0.500 0.500 0.711
Sc1 0.000 0.000 0.941
Sc2 0.500 0.500 0.313
```

=====

no.,ΔH_f (0 K) (eV/atom)
1,0.02
2,-0.18
3,-0.23
4,-0.02